[1]
Below is a geometry-optimized CaCdSi2 structure, with properties calculated at the PBE level.

a = 5.2260 Å, b = 5.2260 Å, c = 3.1692 Å
α = 90.00°, β = 90.00°, γ = 106.42°
Fractional coordinates of all 4 atoms:
Ca1 0.5000 0.0000 0.5000
Cd1 0.0000 0.5000 0.5000
Si1 0.0000 0.0000 0.0000
Si2 0.5000 0.5000 0.0000

Results
**ΔE_f (raw)**: 119.2 meV/atom
**Final energy**: -3.322 eV per atom
**SG**: Cmmm, No. 65

***

[2]
Below is a geometry-optimized CsLiDy2Cl8 structure, with properties calculated at the PBE level.

a = 7.0110 Å, b = 6.8309 Å, c = 8.4206 Å
α = 89.98°, β = 89.97°, γ = 81.22°
Fractional coordinates of all 12 atoms:
Cs1 0.0000 0.0000 0.5000
Li1 0.0000 0.0000 0.0000
Dy1 0.5001 0.5001 0.7624
Dy2 0.4999 0.4999 0.2376
Cl1 0.1840 0.7511 0.2008
Cl2 0.6388 0.7017 0.0000
Cl3 0.8156 0.2483 0.2007
Cl4 0.8160 0.2489 0.7992
Cl5 0.3612 0.2983 0.0000
Cl6 0.1844 0.7517 0.7993
Cl7 0.6228 0.6895 0.4998
Cl8 0.3772 0.3105 0.5002

Results
**ΔE_f (raw)**: -2100.2 meV/atom
**Final energy**: -4.329 eV per atom
**SG**: P2/m, No. 10

***

[3]
Below is a geometry-optimized TbMg5Zn2 structure, with properties calculated at the PBE level.

a = 3.7174 Å, b = 7.1954 Å, c = 7.1954 Å
α = 73.10°, β = 75.03°, γ = 75.03°
Fractional coordinates of all 8 atoms:
Tb1 0.0000 0.0000 0.0000
Mg1 0.0000 0.5000 0.5000
Mg2 0.6455 0.5554 0.1536
Mg3 0.3545 0.4446 0.8464
Mg4 0.3545 0.8464 0.4446
Mg5 0.6455 0.1536 0.5554
Zn1 0.7312 0.7688 0.7688
Zn2 0.2688 0.2312 0.2312

Results
**Final energy**: -2.023 eV per atom
**SG**: Immm, No. 71
**Energy of formation from the pure elements**: -0.13 eV/atom

***

| no. | D(E_F) (states/eV/f.u.) |
| --- | --- |
| 1 | 2.5 |
| 2 | 0.0 |
| 3 | 2.9 |